No. 1
An optimized crystal structure of Ag5N2F12, computed with PBE.

```
data_Ag5N2F12
_cell_length_a 6.1329
_cell_length_b 7.0317
_cell_length_c 9.0148
_cell_angle_alpha 75.44
_cell_angle_beta 80.69
_cell_angle_gamma 64.66
_symmetry_space_group_name_H-M 'P -1'
_symmetry_Int_Tables_number 2
loop_
_symmetry_equiv_pos_as_xyz
'x,y,z'
'-x,-y,-z'
loop_
_atom_site_label
_atom_site_fract_x
_atom_site_fract_y
_atom_site_fract_z
Ag1 0.0000 0.0000 0.0000
Ag2 0.3114 0.4441 0.8427
Ag3 0.4143 0.0917 0.1733
N1 0.2309 0.6436 0.5172
F1 0.0012 0.2759 0.5261
F2 0.0495 0.3188 0.1618
F3 0.2208 0.1712 0.8435
F4 0.2800 0.8241 0.4933
F5 0.3263 0.8257 0.1492
F6 0.4458 0.6785 0.8330
```

Output
- uncorrected formation energy (meV per atom) = -756
- DFT total energy (eV/cell) = -67.721
- calculated volume (Å³/f.u.) = 339.4


No. 2
An optimized crystal structure of Ag3NF2, computed with PBE.

```
data_Ag3NF2
_cell_length_a 13.0029
_cell_length_b 4.4528
_cell_length_c 7.0355
_cell_angle_alpha 90.00
_cell_angle_beta 116.25
_cell_angle_gamma 90.00
_symmetry_space_group_name_H-M 'C 1 2/m 1'
_symmetry_Int_Tables_number 12
loop_
_symmetry_equiv_pos_as_xyz
'x,y,z'
'-x,-y,-z'
'-x,y,-z'
'x,-y,z'
'x+1/2,y+1/2,z'
'-x+1/2,-y+1/2,-z'
'-x+1/2,y+1/2,-z'
'x+1/2,-y+1/2,z'
loop_
_atom_site_label
_atom_site_fract_x
_atom_site_fract_y
_atom_site_fract_z
Ag1 0.0362 0.0000 0.2996
Ag2 0.1826 0.5000 0.5689
Ag3 0.1976 0.5000 0.0901
N1 0.2015 0.0000 0.5702
F1 0.0755 0.5000 0.7359
F2 0.1160 0.0000 0.0186
```

Output
- uncorrected formation energy (meV per atom) = -171
- DFT total energy (eV/cell) = -86.589
- calculated volume (Å³/f.u.) = 91.3


No. 3
An optimized crystal structure of AgN3F, computed with PBE.

```
data_AgN3F
_cell_length_a 4.0705
_cell_length_b 4.0705
_cell_length_c 4.0705
_cell_angle_alpha 90.00
_cell_angle_beta 90.00
_cell_angle_gamma 90.00
_symmetry_space_group_name_H-M 'P m -3 m'
_symmetry_Int_Tables_number 221
_symmetry_space_group_name_Hall '-P 4 2 3'
loop_
_atom_site_label
_atom_site_fract_x
_atom_site_fract_y
_atom_site_fract_z
Ag1 0.0000 0.0000 0.0000
N1 0.0000 0.0000 0.5000
F1 0.5000 0.5000 0.5000
```

Output
- uncorrected formation energy (meV per atom) = 2519
- DFT total energy (eV/cell) = -17.105
- calculated volume (Å³/f.u.) = 67.4


No. 4
An optimized crystal structure of Ag2N2F, computed with PBE.

```
data_Ag2N2F
_cell_length_a 4.1843
_cell_length_b 4.2143
_cell_length_c 12.4449
_cell_angle_alpha 90.00
_cell_angle_beta 97.81
_cell_angle_gamma 90.00
_symmetry_space_group_name_H-M 'C 1 2/m 1'
_symmetry_Int_Tables_number 12
loop_
_symmetry_equiv_pos_as_xyz
'x,y,z'
'-x,-y,-z'
'-x,y,-z'
'x,-y,z'
'x+1/2,y+1/2,z'
'-x+1/2,-y+1/2,-z'
'-x+1/2,y+1/2,-z'
'x+1/2,-y+1/2,z'
loop_
_atom_site_label
_atom_site_fract_x
_atom_site_fract_y
_atom_site_fract_z
Ag1 0.0527 0.0000 0.1259
N1 0.0175 0.5000 0.5451
F1 0.0000 0.5000 0.0000
```

Output
- uncorrected formation energy (meV per atom) = -109
- DFT total energy (eV/cell) = -49.540
- calculated volume (Å³/f.u.) = 108.7


No. 5
An optimized crystal structure of AgNF5, computed with PBE.

```
data_AgNF5
_cell_length_a 10.9859
_cell_length_b 7.2547
_cell_length_c 7.7145
_cell_angle_alpha 90.00
_cell_angle_beta 130.75
_cell_angle_gamma 90.00
_symmetry_space_group_name_H-M 'C 1 2/c 1'
_symmetry_Int_Tables_number 15
loop_
_symmetry_equiv_pos_as_xyz
'x,y,z'
'-x,-y,-z'
'-x,y,-z+1/2'
'x,-y,z+1/2'
'x+1/2,y+1/2,z'
'-x+1/2,-y+1/2,-z'
'-x+1/2,y+1/2,-z+1/2'
'x+1/2,-y+1/2,z+1/2'
loop_
_atom_site_label
_atom_site_fract_x
_atom_site_fract_y
_atom_site_fract_z
Ag1 0.2500 0.2500 0.0000
N1 0.0000 0.0883 0.2500
F1 0.0000 0.2927 0.7500
F2 0.0251 0.2043 0.4081
F3 0.2260 0.0269 0.4059
```

Output
- uncorrected formation energy (meV per atom) = -604
- DFT total energy (eV/cell) = -99.032
- calculated volume (Å³/f.u.) = 116.5


No. 6
An optimized crystal structure of Ag2NF, computed with PBE.

```
data_Ag2NF
_cell_length_a 5.3818
_cell_length_b 5.3818
_cell_length_c 9.4746
_cell_angle_alpha 90.00
_cell_angle_beta 90.00
_cell_angle_gamma 90.00
_symmetry_space_group_name_H-M 'I -4 2 d'
_symmetry_Int_Tables_number 122
_symmetry_space_group_name_Hall 'I -4 2bw'
loop_
_atom_site_label
_atom_site_fract_x
_atom_site_fract_y
_atom_site_fract_z
Ag1 0.1954 0.2500 0.1250
N1 0.0000 0.0000 0.0000
F1 0.0000 0.0000 0.5000
```

Output
- uncorrected formation energy (meV per atom) = 343
- DFT total energy (eV/cell) = -58.115
- calculated volume (Å³/f.u.) = 68.6
- distance to the lowest polymorph of the same formula (meV per atom) = 0


No. 7
An optimized crystal structure of AgNF3, computed with PBE.

```
data_AgNF3
_cell_length_a 4.2011
_cell_length_b 4.2011
_cell_length_c 4.2011
_cell_angle_alpha 90.00
_cell_angle_beta 90.00
_cell_angle_gamma 90.00
_symmetry_space_group_name_H-M 'P m -3 m'
_symmetry_Int_Tables_number 221
_symmetry_space_group_name_Hall '-P 4 2 3'
loop_
_atom_site_label
_atom_site_fract_x
_atom_site_fract_y
_atom_site_fract_z
Ag1 0.0000 0.0000 0.0000
N1 0.5000 0.5000 0.5000
F1 0.0000 0.0000 0.5000
```

Output
- uncorrected formation energy (meV per atom) = 246
- DFT total energy (eV/cell) = -15.559
- calculated volume (Å³/f.u.) = 74.1
- distance to the lowest polymorph of the same formula (meV per atom) = 728


No. 8
An optimized crystal structure of Ag2N2F3, computed with PBE.

```
data_Ag2N2F3
_cell_length_a 3.5070
_cell_length_b 5.9172
_cell_length_c 6.8022
_cell_angle_alpha 71.97
_cell_angle_beta 77.31
_cell_angle_gamma 75.24
_symmetry_space_group_name_H-M 'P -1'
_symmetry_Int_Tables_number 2
loop_
_symmetry_equiv_pos_as_xyz
'x,y,z'
'-x,-y,-z'
loop_
_atom_site_label
_atom_site_fract_x
_atom_site_fract_y
_atom_site_fract_z
Ag1 0.0973 0.2204 0.1053
N1 0.0277 0.5512 0.5499
F1 0.3347 0.0141 0.8030
F2 0.5000 0.5000 0.0000
```

Output
- uncorrected formation energy (meV per atom) = -717
- DFT total energy (eV/cell) = -32.985
- calculated volume (Å³/f.u.) = 128.3


No. 9
An optimized crystal structure of Ag3NF6, computed with PBE.

```
data_Ag3NF6
_cell_length_a 8.6309
_cell_length_b 12.5912
_cell_length_c 6.3445
_cell_angle_alpha 90.00
_cell_angle_beta 90.00
_cell_angle_gamma 90.00
_symmetry_space_group_name_H-M 'C m c 21'
_symmetry_Int_Tables_number 36
loop_
_symmetry_equiv_pos_as_xyz
'x,y,z'
'-x,-y,z+1/2'
'-x,y,z'
'x,-y,z+1/2'
'x+1/2,y+1/2,z'
'-x+1/2,-y+1/2,z+1/2'
'-x+1/2,y+1/2,z'
'x+1/2,-y+1/2,z+1/2'
loop_
_atom_site_label
_atom_site_fract_x
_atom_site_fract_y
_atom_site_fract_z
Ag1 0.0000 0.0760 0.0000
Ag2 0.1758 0.4013 0.9977
N1 0.0000 0.3342 0.4115
F1 0.0000 0.2691 0.9871
F2 0.0000 0.4014 0.5931
F3 0.1271 0.2670 0.4555
F4 0.1879 0.0025 0.7488
```

Output
- uncorrected formation energy (meV per atom) = -689
- DFT total energy (eV/cell) = -139.996
- calculated volume (Å³/f.u.) = 172.4


No. 10
An optimized crystal structure of AgN2F6, computed with PBE.

```
data_AgN2F6
_cell_length_a 11.3333
_cell_length_b 9.7244
_cell_length_c 6.7585
_cell_angle_alpha 90.00
_cell_angle_beta 116.71
_cell_angle_gamma 90.00
_symmetry_space_group_name_H-M 'C 1 2/c 1'
_symmetry_Int_Tables_number 15
loop_
_symmetry_equiv_pos_as_xyz
'x,y,z'
'-x,-y,-z'
'-x,y,-z+1/2'
'x,-y,z+1/2'
'x+1/2,y+1/2,z'
'-x+1/2,-y+1/2,-z'
'-x+1/2,y+1/2,-z+1/2'
'x+1/2,-y+1/2,z+1/2'
loop_
_atom_site_label
_atom_site_fract_x
_atom_site_fract_y
_atom_site_fract_z
Ag1 0.0000 0.0001 0.2500
N1 0.1155 0.3994 0.1379
F1 0.1262 0.0034 0.5950
F2 0.1304 0.3333 0.9702
F3 0.1452 0.2986 0.2971
```

Output
- uncorrected formation energy (meV per atom) = -376
- DFT total energy (eV/cell) = -136.445
- calculated volume (Å³/f.u.) = 166.3


No. 11
An optimized crystal structure of NaAgNF2, computed with PBE.

```
data_NaAgNF2
_cell_length_a 4.5635
_cell_length_b 4.5635
_cell_length_c 4.0221
_cell_angle_alpha 90.00
_cell_angle_beta 90.00
_cell_angle_gamma 90.00
_symmetry_space_group_name_H-M 'P 4/m m m'
_symmetry_Int_Tables_number 123
_symmetry_space_group_name_Hall '-P 4 2'
loop_
_atom_site_label
_atom_site_fract_x
_atom_site_fract_y
_atom_site_fract_z
Na1 0.0000 0.0000 0.0000
Ag1 0.5000 0.5000 0.5000
N1 0.5000 0.5000 0.0000
F1 0.0000 0.5000 0.5000
```

Output
- uncorrected formation energy (meV per atom) = -474
- DFT total energy (eV/cell) = -18.608
- calculated volume (Å³/f.u.) = 83.8
- distance to the lowest polymorph of the same formula (meV per atom) = 0


No. 12
An optimized crystal structure of NaAgNF2, computed with PBE.

```
data_NaAgNF2
_cell_length_a 4.2358
_cell_length_b 4.2358
_cell_length_c 4.4184
_cell_angle_alpha 90.00
_cell_angle_beta 90.00
_cell_angle_gamma 90.00
_symmetry_space_group_name_H-M 'P 4/m m m'
_symmetry_Int_Tables_number 123
_symmetry_space_group_name_Hall '-P 4 2'
loop_
_atom_site_label
_atom_site_fract_x
_atom_site_fract_y
_atom_site_fract_z
Na1 0.0000 0.0000 0.0000
Ag1 0.5000 0.5000 0.5000
N1 0.0000 0.0000 0.5000
F1 0.0000 0.5000 0.0000
```

Output
- uncorrected formation energy (meV per atom) = -116
- DFT total energy (eV/cell) = -16.816
- calculated volume (Å³/f.u.) = 79.3
- distance to the lowest polymorph of the same formula (meV per atom) = 358


No. 13
An optimized crystal structure of NbAgNF2, computed with PBE.

```
data_NbAgNF2
_cell_length_a 4.1852
_cell_length_b 4.1852
_cell_length_c 4.2096
_cell_angle_alpha 90.00
_cell_angle_beta 90.00
_cell_angle_gamma 90.00
_symmetry_space_group_name_H-M 'P 4/m m m'
_symmetry_Int_Tables_number 123
_symmetry_space_group_name_Hall '-P 4 2'
loop_
_atom_site_label
_atom_site_fract_x
_atom_site_fract_y
_atom_site_fract_z
Nb1 0.0000 0.0000 0.0000
Ag1 0.5000 0.5000 0.5000
N1 0.5000 0.5000 0.0000
F1 0.0000 0.5000 0.5000
```

Output
- uncorrected formation energy (meV per atom) = 402
- DFT total energy (eV/cell) = -22.977
- calculated volume (Å³/f.u.) = 73.7
- distance to the lowest polymorph of the same formula (meV per atom) = 1526


No. 14
An optimized crystal structure of NbAgN2F, computed with PBE.

```
data_NbAgN2F
_cell_length_a 4.0400
_cell_length_b 4.0400
_cell_length_c 3.9753
_cell_angle_alpha 90.00
_cell_angle_beta 90.00
_cell_angle_gamma 90.00
_symmetry_space_group_name_H-M 'P 4/m m m'
_symmetry_Int_Tables_number 123
_symmetry_space_group_name_Hall '-P 4 2'
loop_
_atom_site_label
_atom_site_fract_x
_atom_site_fract_y
_atom_site_fract_z
Nb1 0.0000 0.0000 0.0000
Ag1 0.5000 0.5000 0.5000
N1 0.0000 0.5000 0.5000
F1 0.5000 0.5000 0.0000
```

Output
- uncorrected formation energy (meV per atom) = 1244
- DFT total energy (eV/cell) = -25.222
- calculated volume (Å³/f.u.) = 64.9
- distance to the lowest polymorph of the same formula (meV per atom) = 1571


No. 15
An optimized crystal structure of NbAgNF2, computed with PBE.

```
data_NbAgNF2
_cell_length_a 4.2243
_cell_length_b 4.2243
_cell_length_c 4.0544
_cell_angle_alpha 90.00
_cell_angle_beta 90.00
_cell_angle_gamma 90.00
_symmetry_space_group_name_H-M 'P 4/m m m'
_symmetry_Int_Tables_number 123
_symmetry_space_group_name_Hall '-P 4 2'
loop_
_atom_site_label
_atom_site_fract_x
_atom_site_fract_y
_atom_site_fract_z
Nb1 0.0000 0.0000 0.0000
Ag1 0.5000 0.5000 0.5000
N1 0.0000 0.0000 0.5000
F1 0.0000 0.5000 0.0000
```

Output
- uncorrected formation energy (meV per atom) = -1124
- DFT total energy (eV/cell) = -30.608
- calculated volume (Å³/f.u.) = 72.4
- distance to the lowest polymorph of the same formula (meV per atom) = 0


No. 16
An optimized crystal structure of NbAgN2F, computed with PBE.

```
data_NbAgN2F
_cell_length_a 4.0858
_cell_length_b 4.0858
_cell_length_c 4.1579
_cell_angle_alpha 90.00
_cell_angle_beta 90.00
_cell_angle_gamma 90.00
_symmetry_space_group_name_H-M 'P 4/m m m'
_symmetry_Int_Tables_number 123
_symmetry_space_group_name_Hall '-P 4 2'
loop_
_atom_site_label
_atom_site_fract_x
_atom_site_fract_y
_atom_site_fract_z
Nb1 0.0000 0.0000 0.0000
Ag1 0.5000 0.5000 0.5000
N1 0.0000 0.5000 0.0000
F1 0.0000 0.0000 0.5000
```

Output
- uncorrected formation energy (meV per atom) = -327
- DFT total energy (eV/cell) = -33.077
- calculated volume (Å³/f.u.) = 69.4
- distance to the lowest polymorph of the same formula (meV per atom) = 0